Record 1
# LiFeSb2

An optimized crystal structure of LiFeSb2 (GGA-PBE, Alexandria via LeMat-Bulk).

E_tot in eV per cell: -18.24
Fermi-level density of states in states/eV per cell: 3.3
Spin magnetization in μB/cell: 2.59
Theoretical density in g/cm3: 6.541
Formation energy without anion corrections in meV/atom: 95.5
Polymorph energy (0 for the lowest one) in eV per formula unit: 0.76

a b c (Å): 5.019 5.019 3.176
angles (deg): 95.17 95.17 100.99
Positions (direct):
Li: 0.000 0.000 0.000
Fe: 0.500 0.500 0.000
Sb: 0.000 0.500 0.500
Sb: 0.500 0.000 0.500

Record 2
# Hf2Ti2I7

An optimized crystal structure of Hf2Ti2I7 (GGA-PBE, Alexandria via LeMat-Bulk).

E_tot in eV per cell: -103.28
Fermi-level density of states in states/eV per cell: 3.6
Spin magnetization in μB/cell: 2.05
Theoretical density in g/cm3: 4.692
Formation energy without anion corrections in meV/atom: -463.1

a b c (Å): 7.475 7.475 20.396
angles (deg): 90.92 90.92 123.54
Positions (direct):
Hf: 0.127 0.242 0.001
Hf: 0.242 0.127 0.501
Hf: 0.758 0.873 0.499
Hf: 0.873 0.758 0.999
Ti: 0.010 0.906 0.613
Ti: 0.094 0.990 0.887
Ti: 0.906 0.010 0.113
Ti: 0.990 0.094 0.387
I: 0.007 0.252 0.583
I: 0.045 0.955 0.750
I: 0.133 0.651 0.918
I: 0.252 0.007 0.083
I: 0.349 0.867 0.582
I: 0.356 0.499 0.416
I: 0.499 0.356 0.916
I: 0.501 0.644 0.084
I: 0.644 0.501 0.584
I: 0.651 0.133 0.418
I: 0.748 0.993 0.917
I: 0.867 0.349 0.082
I: 0.955 0.045 0.250
I: 0.993 0.748 0.417

Record 3
# SeBr

An optimized crystal structure of SeBr (GGA-PBE, Alexandria via LeMat-Bulk).

E_tot in eV per cell: -9.89
Fermi-level density of states in states/eV per cell: 1.3
Spin magnetization in μB/cell: 0.00
Theoretical density in g/cm3: 4.058
Formation energy without anion corrections in meV/atom: 107.2

a b c (Å): 4.980 3.727 7.022
angles (deg): 90.00 93.96 90.00
Positions (direct):
Se: 0.035 0.250 0.118
Se: 0.965 0.750 0.882
Br: 0.340 0.750 0.340
Br: 0.660 0.250 0.660

Record 4
# CsCoCl4

An optimized crystal structure of CsCoCl4 (GGA-PBE, Alexandria via LeMat-Bulk).

E_tot in eV per cell: -42.26
Fermi-level density of states in states/eV per cell: 13.1
Spin magnetization in μB/cell: 4.05
Theoretical density in g/cm3: 3.421
Formation energy without anion corrections in meV/atom: -963.7
Polymorph energy (0 for the lowest one) in eV per formula unit: 0.55

a b c (Å): 6.452 6.483 8.894
angles (deg): 110.48 110.19 90.09
Positions (direct):
Cs: 0.248 0.282 0.499
Cs: 0.752 0.718 0.501
Co: 0.000 0.500 0.000
Co: 0.500 0.000 0.000
Cl: 0.153 0.701 0.287
Cl: 0.199 0.221 0.049
Cl: 0.281 0.647 0.951
Cl: 0.351 0.909 0.711
Cl: 0.649 0.091 0.289
Cl: 0.719 0.353 0.049
Cl: 0.801 0.779 0.951
Cl: 0.847 0.299 0.713

Record 5
# HfZrTcPd

An optimized crystal structure of HfZrTcPd (GGA-PBE, Alexandria via LeMat-Bulk).

E_tot in eV per cell: -36.54
Formation energy from the elements in eV per atom: -0.6209
Fermi-level density of states in states/eV per cell: 2.9
Spin magnetization in μB/cell: 0.00
Theoretical density in g/cm3: 10.861

a b c (Å): 3.311 3.311 6.612
angles (deg): 90.00 90.00 90.00
Positions (direct):
Hf: 0.000 0.000 0.000
Zr: 0.000 0.000 0.524
Tc: 0.500 0.500 0.765
Pd: 0.500 0.500 0.254

Record 6
# ThIn3Pd

An optimized crystal structure of ThIn3Pd (GGA-PBE, Alexandria via LeMat-Bulk).

E_tot in eV per cell: -91.93
Formation energy from the elements in eV per atom: -0.4311
Fermi-level density of states in states/eV per cell: 7.0
Spin magnetization in μB/cell: 0.00
Theoretical density in g/cm3: 9.441

a b c (Å): 9.070 4.536 11.680
angles (deg): 90.00 90.00 90.00
Positions (direct):
Th: 0.188 0.250 0.009
Th: 0.312 0.750 0.509
Th: 0.688 0.250 0.491
Th: 0.812 0.750 0.991
In: 0.063 0.250 0.587
In: 0.106 0.750 0.808
In: 0.141 0.750 0.212
In: 0.359 0.250 0.712
In: 0.394 0.250 0.308
In: 0.437 0.750 0.087
In: 0.563 0.250 0.913
In: 0.606 0.750 0.692
In: 0.641 0.750 0.288
In: 0.859 0.250 0.788
In: 0.894 0.250 0.192
In: 0.937 0.750 0.413
Pd: 0.105 0.250 0.355
Pd: 0.395 0.750 0.855
Pd: 0.605 0.250 0.145
Pd: 0.895 0.750 0.645

Record 7
# MgV3Ni

An optimized crystal structure of MgV3Ni (GGA-PBE, Alexandria via LeMat-Bulk).

E_tot in eV per cell: -30.62
Formation energy from the elements in eV per atom: 0.8228
Fermi-level density of states in states/eV per cell: 7.6
Spin magnetization in μB/cell: 1.07
Theoretical density in g/cm3: 4.554
Polymorph energy (0 for the lowest one) in eV per formula unit: 0.00

a b c (Å): 4.414 4.414 4.414
angles (deg): 90.00 90.00 90.00
Positions (direct):
Mg: 0.000 0.000 0.000
V: 0.000 0.500 0.500
V: 0.500 0.000 0.500
V: 0.500 0.500 0.000
Ni: 0.500 0.500 0.500

Record 8
# SiAgGe2Sb

An optimized crystal structure of SiAgGe2Sb (GGA-PBE, Alexandria via LeMat-Bulk).

E_tot in eV per cell: -17.84
Fermi-level density of states in states/eV per cell: 3.3
Spin magnetization in μB/cell: 0.00
Theoretical density in g/cm3: 5.444
Formation energy without anion corrections in meV/atom: 758.5

a b c (Å): 5.074 5.074 4.774
angles (deg): 90.00 90.00 90.00
Positions (direct):
Si: 0.000 0.000 0.000
Ag: 0.000 0.000 0.500
Ge: 0.000 0.500 0.500
Ge: 0.500 0.000 0.500
Sb: 0.500 0.500 0.000

Record 9
# Hg2TeRu

An optimized crystal structure of Hg2TeRu (GGA-PBE, Alexandria via LeMat-Bulk).

E_tot in eV per cell: -11.60
Fermi-level density of states in states/eV per cell: 4.3
Spin magnetization in μB/cell: 0.00
Theoretical density in g/cm3: 11.261
Formation energy without anion corrections in meV/atom: 354.8

a b c (Å): 7.252 7.252 7.252
angles (deg): 154.76 145.08 43.58
Positions (direct):
Hg: 0.189 0.189 0.000
Hg: 0.811 0.811 0.000
Te: 0.500 0.000 0.500
Ru: 0.000 0.500 0.500

Record 10
# LiLa2Ga6Rh

An optimized crystal structure of LiLa2Ga6Rh (GGA-PBE, Alexandria via LeMat-Bulk).

E_tot in eV per cell: -41.45
Formation energy from the elements in eV per atom: -0.4167
Fermi-level density of states in states/eV per cell: 3.2
Spin magnetization in μB/cell: 0.00
Theoretical density in g/cm3: 6.454

a b c (Å): 6.645 6.645 6.645
angles (deg): 120.12 119.94 89.95
Positions (direct):
Li: 0.000 0.000 0.000
La: 0.250 0.750 0.500
La: 0.750 0.250 0.500
Ga: 0.239 0.240 0.479
Ga: 0.239 0.760 0.999
Ga: 0.240 0.240 0.000
Ga: 0.760 0.760 0.000
Ga: 0.761 0.240 0.001
Ga: 0.761 0.760 0.521
Rh: 0.500 0.500 0.000

Record 11
# Hg2MoPb

An optimized crystal structure of Hg2MoPb (GGA-PBE, Alexandria via LeMat-Bulk).

E_tot in eV per cell: -12.98
Formation energy from the elements in eV per atom: 0.5418
Fermi-level density of states in states/eV per cell: 4.0
Spin magnetization in μB/cell: 0.00
Theoretical density in g/cm3: 11.894

a b c (Å): 7.413 7.413 7.413
angles (deg): 156.82 142.06 44.93
Positions (direct):
Hg: 0.186 0.186 0.000
Hg: 0.814 0.814 0.000
Mo: 0.000 0.500 0.500
Pb: 0.500 0.000 0.500

Record 12
# LiCuPH2O5

An optimized crystal structure of LiCuPH2O5 (GGA-PBE, Alexandria via LeMat-Bulk).

E_tot in eV per cell: -233.90
Fermi-level density of states in states/eV per cell: 2.0
Spin magnetization in μB/cell: 4.01
Theoretical density in g/cm3: 2.690

a b c (Å): 9.503 6.677 7.199
angles (deg): 90.00 97.40 90.00
Positions (direct):
Li: 0.159 0.066 0.076
Li: 0.159 0.434 0.576
Li: 0.841 0.566 0.424
Li: 0.841 0.934 0.924
Cu: 0.498 0.731 0.263
Cu: 0.498 0.769 0.763
Cu: 0.502 0.231 0.237
Cu: 0.502 0.269 0.737
P: 0.302 0.012 0.467
P: 0.302 0.488 0.967
P: 0.698 0.512 0.033
P: 0.698 0.988 0.533
H: 0.024 0.590 0.260
H: 0.024 0.910 0.760
H: 0.100 0.732 0.876
H: 0.100 0.768 0.376
H: 0.900 0.232 0.624
H: 0.900 0.268 0.124
H: 0.976 0.090 0.240
H: 0.976 0.410 0.740
O: 0.063 0.629 0.388
O: 0.063 0.871 0.888
O: 0.153 0.005 0.357
O: 0.153 0.495 0.857
O: 0.324 0.666 0.106
O: 0.324 0.834 0.606
O: 0.327 0.222 0.562
O: 0.327 0.278 0.062
O: 0.413 0.511 0.820
O: 0.413 0.989 0.320
O: 0.587 0.011 0.680
O: 0.587 0.489 0.180
O: 0.673 0.722 0.938
O: 0.673 0.778 0.438
O: 0.676 0.166 0.394
O: 0.676 0.334 0.894
O: 0.847 0.505 0.143
O: 0.847 0.995 0.643
O: 0.937 0.129 0.112
O: 0.937 0.371 0.612

Record 13
# Cs2PtAu4

An optimized crystal structure of Cs2PtAu4 (GGA-PBE, Alexandria via LeMat-Bulk).

E_tot in eV per cell: -20.68
Formation energy from the elements in eV per atom: 0.0255
Fermi-level density of states in states/eV per cell: 1.0
Spin magnetization in μB/cell: 0.00
Theoretical density in g/cm3: 8.446

a b c (Å): 9.406 9.406 9.406
angles (deg): 147.03 147.03 47.32
Positions (direct):
Cs: 0.141 0.141 0.000
Cs: 0.859 0.859 0.000
Pt: 0.500 0.500 0.000
Au: 0.000 0.500 0.500
Au: 0.350 0.350 0.000
Au: 0.500 0.000 0.500
Au: 0.650 0.650 0.000

Record 14
# UPaS4

An optimized crystal structure of UPaS4 (GGA-PBE, Alexandria via LeMat-Bulk).

E_tot in eV per cell: -45.68
Fermi-level density of states in states/eV per cell: 6.7
Spin magnetization in μB/cell: 1.92
Theoretical density in g/cm3: 8.866
Formation energy without anion corrections in meV/atom: -1398.0
Polymorph energy (0 for the lowest one) in eV per formula unit: 0.03

a b c (Å): 3.588 3.588 8.688
angles (deg): 90.00 90.00 90.00
Positions (direct):
U: 0.000 0.000 0.000
Pa: 0.500 0.500 0.500
S: 0.000 0.000 0.344
S: 0.000 0.000 0.656
S: 0.500 0.500 0.156
S: 0.500 0.500 0.844